# 1
Compound: La3CdIr
Source: Alexandria
Functional: PBE-GGA
Structure: optimized geometry

Unit cell a=6.4247 b=6.4417 c=8.0638 alpha=88.34 beta=88.31 gamma=66.02
Space group P-1 (No. 2)
Asymmetric unit:
La  0.0502  0.0508  0.2807
La  0.2482  0.2473  0.8847
La  0.4460  0.4453  0.2537
Cd  0.0000  0.5000  0.5000
Cd  0.5000  0.0000  0.5000
Ir  0.2259  0.7760  0.0004

Output
Excess energy over the best structure of this formula in the dataset ... 41 meV per atom
ρ ... 7.9 g/cm3
N(E_F) ... 11.88 states/eV per cell

=====

# 2
Compound: OsSeCl2
Source: Alexandria
Functional: PBE-GGA
Structure: optimized geometry

Unit cell a=8.8018 b=8.8018 c=4.7711 alpha=90.00 beta=90.00 gamma=90.00
Space group I-42d (No. 122)
Asymmetric unit:
Os  0.0000  0.0000  0.0000
Se  0.0000  0.0000  0.5000
Cl  0.1104  0.7500  0.1250

Output
Excess energy over the best structure of this formula in the dataset ... 426 meV per atom
ρ ... 6.1 g/cm3
N(E_F) ... 14.39 states/eV per cell
Energy relative to the elements, uncorrected ... 312 meV per atom

=====

# 3
Compound: Cr2ReW
Source: Alexandria
Functional: PBE-GGA
Structure: optimized geometry

Unit cell a=3.0422 b=4.2114 c=4.3307 alpha=90.00 beta=90.00 gamma=90.00
Space group Pmmm (No. 47)
Asymmetric unit:
Cr  0.0000  0.0000  0.0000
Cr  0.5000  0.0000  0.5000
Re  0.0000  0.5000  0.5000
W  0.5000  0.5000  0.0000

Output
VASP energy ... -11.09 eV/atom
ρ ... 14.2 g/cm3
N(E_F) ... 3.50 states/eV per cell

=====

# 4
Compound: BaMgAgHg
Source: Alexandria
Functional: PBE-GGA
Structure: optimized geometry

Unit cell a=7.7238 b=7.7238 c=7.7238 alpha=90.00 beta=90.00 gamma=90.00
Space group F-43m (No. 216)
Asymmetric unit:
Ba  0.0000  0.0000  0.0000
Mg  0.0000  0.0000  0.5000
Ag  0.2500  0.2500  0.7500
Hg  0.2500  0.2500  0.2500

Output
Excess energy over the best structure of this formula in the dataset ... 96 meV per atom
ρ ... 6.8 g/cm3
N(E_F) ... 18.66 states/eV per cell